Sr2NpCl8 | PBE-GGA | optimized geometry

abc: 8.398 8.398 8.539
angles: 98.63 98.63 33.57
Sites, in units of the cell vectors:
1 Sr 0.242 0.242 0.230
2 Sr 0.758 0.758 0.770
3 Np 0.000 0.000 0.500
4 Cl 0.047 0.047 0.226
5 Cl 0.182 0.182 0.564
6 Cl 0.319 0.319 0.939
7 Cl 0.433 0.433 0.353
8 Cl 0.567 0.567 0.647
9 Cl 0.681 0.681 0.061
10 Cl 0.818 0.818 0.436
11 Cl 0.953 0.953 0.774

## Properties
Its space group is C2/m. The uncorrected formation energy is -2.035 eV per atom. The energy above the most stable polymorph in this dataset comes out at 0 meV per atom.

LaNd3Sm2S6 | PBE-GGA | optimized geometry

abc: 7.047 7.047 7.032
angles: 99.61 99.61 120.14
Sites, in units of the cell vectors:
1 La 0.000 0.000 0.000
2 Nd 0.165 0.835 0.500
3 Nd 0.500 0.500 0.500
4 Nd 0.835 0.165 0.500
5 Sm 0.333 0.667 0.000
6 Sm 0.667 0.333 0.000
7 S 0.083 0.422 0.249
8 S 0.257 0.257 0.754
9 S 0.422 0.083 0.249
10 S 0.578 0.917 0.751
11 S 0.743 0.743 0.246
12 S 0.917 0.578 0.751

## Properties
Its space group is C2/m. The uncorrected formation energy is -2.052 eV per atom.

Li6Tl2Zn | PBE-GGA | optimized geometry

abc: 9.832 9.832 9.832
angles: 27.63 27.63 27.63
Sites, in units of the cell vectors:
1 Li 0.093 0.093 0.093
2 Li 0.199 0.199 0.199
3 Li 0.305 0.305 0.305
4 Li 0.695 0.695 0.695
5 Li 0.801 0.801 0.801
6 Li 0.907 0.907 0.907
7 Tl 0.406 0.406 0.406
8 Tl 0.594 0.594 0.594
9 Zn 0.500 0.500 0.500

## Properties
The energy of formation from the pure elements comes out at -142 meV/atom. Its space group is R-3m. The energy above the most stable polymorph in this dataset comes out at 15 meV per atom.

CaTc2P3 | PBE-GGA | optimized geometry

abc: 6.675 6.675 8.034
angles: 90.00 90.00 144.09
Sites, in units of the cell vectors:
1 Ca 0.209 0.791 0.750
2 Ca 0.791 0.209 0.250
3 Tc 0.000 0.000 0.000
4 Tc 0.000 0.000 0.500
5 Tc 0.469 0.531 0.750
6 Tc 0.531 0.469 0.250
7 P 0.117 0.883 0.250
8 P 0.392 0.608 0.036
9 P 0.392 0.608 0.464
10 P 0.608 0.392 0.536
11 P 0.608 0.392 0.964
12 P 0.883 0.117 0.750

## Properties
The energy of formation from the pure elements comes out at -668 meV/atom. Its space group is Cmcm.

KPbSe2Br | PBE-GGA | optimized geometry

abc: 5.711 5.711 5.702
angles: 90.00 90.00 90.00
Sites, in units of the cell vectors:
1 K 0.000 0.000 0.000
2 Pb 0.500 0.500 0.500
3 Se 0.000 0.500 0.000
4 Se 0.500 0.000 0.000
5 Br 0.000 0.000 0.500

## Properties
Its space group is P4/mmm. The uncorrected formation energy is 0.236 eV per atom. The energy above the most stable polymorph in this dataset comes out at 735 meV per atom.

CaThH2 | PBE-GGA | optimized geometry

abc: 6.456 6.456 6.456
angles: 32.83 32.83 32.83
Sites, in units of the cell vectors:
1 Ca 0.000 0.000 0.000
2 Th 0.500 0.500 0.500
3 H 0.234 0.234 0.234
4 H 0.766 0.766 0.766

## Properties
Its space group is R-3m. The energy above the most stable polymorph in this dataset comes out at 0 meV per atom.

ZrAsRu | PBE-GGA | optimized geometry

abc: 3.091 3.091 6.375
angles: 90.00 90.00 120.00
Sites, in units of the cell vectors:
1 Zr 0.000 0.000 0.000
2 As 0.333 0.667 0.361
3 Ru 0.667 0.333 0.635

## Properties
The energy of formation from the pure elements comes out at -139 meV/atom. Its space group is P3m1.

K2ReBr | PBE-GGA | optimized geometry

abc: 7.257 7.257 7.257
angles: 141.71 141.71 55.27
Sites, in units of the cell vectors:
1 K 0.000 0.000 0.000
2 K 0.750 0.250 0.500
3 Re 0.250 0.750 0.500
4 Br 0.500 0.500 0.000

## Properties
Its space group is I-4m2. The uncorrected formation energy is 0.829 eV per atom. The energy above the most stable polymorph in this dataset comes out at 1004 meV per atom.

K6RbAu2O | PBE-GGA | optimized geometry

abc: 7.958 7.987 9.313
angles: 64.83 64.74 60.16
Sites, in units of the cell vectors:
1 K 0.000 0.000 0.000
2 K 0.060 0.427 0.002
3 K 0.161 0.688 0.379
4 K 0.261 0.099 0.381
5 K 0.487 0.941 0.999
6 K 0.746 0.200 0.380
7 Rb 0.613 0.547 0.715
8 Au 0.292 0.239 0.664
9 Au 0.750 0.692 0.293
10 O 0.117 0.057 0.197

## Properties
Its space group is P1. The uncorrected formation energy is -0.435 eV per atom.

AcSm4Ho8 | PBE-GGA | optimized geometry

abc: 7.848 7.848 7.848
angles: 90.07 90.07 90.07
Sites, in units of the cell vectors:
1 Ac 0.000 0.000 0.000
2 Sm 0.000 0.000 0.500
3 Sm 0.000 0.500 0.000
4 Sm 0.500 0.000 0.000
5 Sm 0.500 0.500 0.500
6 Ho 0.262 0.737 0.737
7 Ho 0.263 0.263 0.263
8 Ho 0.263 0.263 0.738
9 Ho 0.263 0.738 0.263
10 Ho 0.737 0.262 0.737
11 Ho 0.737 0.737 0.262
12 Ho 0.737 0.737 0.737
13 Ho 0.738 0.263 0.263

## Properties
The energy of formation from the pure elements comes out at 531 meV/atom. Its space group is R-3m.

LaMg2Os | PBE-GGA | optimized geometry

abc: 6.253 6.253 4.956
angles: 113.06 113.06 31.31
Sites, in units of the cell vectors:
1 La 0.000 0.000 0.000
2 Mg 0.201 0.201 0.700
3 Mg 0.799 0.799 0.300
4 Os 0.500 0.500 0.500

## Properties
The energy of formation from the pure elements comes out at 45 meV/atom. Its space group is C2/m.

Ir2Rh | PBE-GGA | optimized geometry

abc: 6.002 6.002 6.002
angles: 90.00 90.00 90.00
Sites, in units of the cell vectors:
1 Ir 0.113 0.113 0.113
2 Ir 0.113 0.387 0.613
3 Ir 0.387 0.613 0.113
4 Ir 0.387 0.887 0.613
5 Ir 0.613 0.113 0.387
6 Ir 0.613 0.387 0.887
7 Ir 0.887 0.613 0.387
8 Ir 0.887 0.887 0.887
9 Rh 0.000 0.000 0.500
10 Rh 0.000 0.500 0.000
11 Rh 0.500 0.000 0.000
12 Rh 0.500 0.500 0.500

## Properties
The energy of formation from the pure elements comes out at 1014 meV/atom. Its space group is Pa-3. The energy above the most stable polymorph in this dataset comes out at 1031 meV per atom.

CoNi | PBE-GGA | optimized geometry

abc: 3.309 3.309 3.309
angles: 60.00 60.00 60.00
Sites, in units of the cell vectors:
1 Co 0.000 0.000 0.000
2 Ni 0.500 0.500 0.500

## Properties
The energy of formation from the pure elements comes out at 779 meV/atom. Its space group is Fm-3m.